A plane-wave DFT calculation with PBE was carried out for crystalline RbTlZnSb2 at its relaxed geometry.

- energy relative to the elements, uncorrected (eV/atom) = 0.48
- total magnetic moment (μB/cell) = 0.00
- E (eV/atom) = -2.093
- D(E_F) (states/eV per atom) = 0.93
- calculated volume (A^3/atom) = 46.33
- space-group type = No. 123

Unit cell a=5.742 b=7.026 c=5.742 alpha=90.00 beta=90.00 gamma=90.00
Positions (direct):
1 Zn 0.500 0.500 0.500
2 Sb 0.500 0.000 0.000
3 Sb 0.000 0.000 0.500
4 Rb 0.000 0.500 0.000
5 Tl 0.000 0.000 0.000